(1)
A relaxed structure of MnCrIr2Ru4, computed with PBE.

a = 7.1899 Å, b = 7.1899 Å, c = 5.2423 Å
α = 111.32°, β = 111.32°, γ = 86.57°
With the nearest neighbours (Å) after each atom.
Sites, in units of the cell vectors:
Mn 0.0000 0.0000 0.0000  2 Ru 2.21
Mn 0.0000 0.0000 0.5000  2 Ru 2.21
Cr 0.0000 0.5000 0.0000  2 Ru 2.20
Cr 0.5000 0.0000 0.5000  2 Ru 2.20
Ir 0.0000 0.5000 0.5000  2 Cr 2.62, 6 Ru 2.64-2.73
Ir 0.5000 0.0000 0.0000  2 Cr 2.62, 6 Ru 2.64-2.73
Ir 0.5000 0.5000 0.0000  2 Ir 2.62, 6 Ru 2.69-2.72
Ir 0.5000 0.5000 0.5000  2 Ir 2.62, 6 Ru 2.69-2.72
Ru 0.2150 0.2682 0.9907  1 Cr 2.20
Ru 0.2242 0.7757 0.0025  1 Mn 2.21
Ru 0.2243 0.7758 0.4975  1 Mn 2.21
Ru 0.2682 0.2150 0.4907  1 Cr 2.20
Ru 0.7318 0.7850 0.5093  1 Cr 2.20
Ru 0.7757 0.2242 0.5025  1 Mn 2.21
Ru 0.7758 0.2243 0.9975  1 Mn 2.21
Ru 0.7850 0.7318 0.0093  1 Cr 2.20

## Properties
- SG = C2/c
- DOS at the Fermi energy (states/eV/f.u.) = 11.6
- ρ (g cm⁻³) = 12.69
- formation enthalpy at 0 K (meV per atom) = 662
- total magnetic moment (μB per formula unit) = 0.0


(2)
A relaxed structure of ScMnCrIr2, computed with PBE.

a = 4.4683 Å, b = 4.4683 Å, c = 4.5071 Å
α = 90.00°, β = 90.00°, γ = 90.00°
With the nearest neighbours (Å) after each atom.
Sites, in units of the cell vectors:
Sc 0.0000 0.0000 0.0000  2 Cr 2.25
Mn 0.5000 0.5000 0.0000  4 Sc 3.16, 8 Ir 3.17
Cr 0.0000 0.0000 0.5000  4 Ir 2.23, 2 Sc 2.25
Ir 0.0000 0.5000 0.5000  2 Cr 2.23
Ir 0.5000 0.0000 0.5000  2 Cr 2.23

## Properties
- SG = P4/mmm
- DOS at the Fermi energy (states/eV/f.u.) = 8.7
- ρ (g cm⁻³) = 9.90
- formation enthalpy at 0 K (meV per atom) = 1137
- total magnetic moment (μB per formula unit) = 0.1


(3)
A relaxed structure of MnCrSiIr, computed with PBE.

a = 4.1320 Å, b = 4.1320 Å, c = 4.1320 Å
α = 60.00°, β = 60.00°, γ = 60.00°
With the nearest neighbours (Å) after each atom.
Sites, in units of the cell vectors:
Mn 0.0000 0.0000 0.0000  4 Si 2.53, 4 Cr 2.53
Cr 0.2500 0.2500 0.2500  4 Mn 2.53, 4 Ir 2.53
Si 0.7500 0.7500 0.7500  4 Ir 2.53, 4 Mn 2.53
Ir 0.5000 0.5000 0.5000  4 Si 2.53, 4 Cr 2.53

## Properties
- energy relative to the elements, uncorrected (eV per atom) = -0.312
- SG = F-43m
- energy above the most stable polymorph in this dataset (meV/atom) = 74
- DOS at the Fermi energy (states/eV/f.u.) = 2.3
- ρ (g cm⁻³) = 10.89
- total magnetic moment (μB per formula unit) = 2.0


(4)
A relaxed structure of MnCrSiIr, computed with PBE.

a = 4.1596 Å, b = 4.1596 Å, c = 4.1596 Å
α = 60.00°, β = 60.00°, γ = 60.00°
With the nearest neighbours (Å) after each atom.
Sites, in units of the cell vectors:
Mn 0.0000 0.0000 0.0000  4 Ir 2.55, 4 Cr 2.55
Cr 0.2500 0.2500 0.2500  4 Mn 2.55, 4 Si 2.55
Si 0.5000 0.5000 0.5000  4 Cr 2.55, 4 Ir 2.55
Ir 0.7500 0.7500 0.7500  4 Mn 2.55, 4 Si 2.55

## Properties
- energy relative to the elements, uncorrected (eV per atom) = -0.386
- SG = F-43m
- energy above the most stable polymorph in this dataset (meV/atom) = 0
- DOS at the Fermi energy (states/eV/f.u.) = 1.2
- ρ (g cm⁻³) = 10.68
- total magnetic moment (μB per formula unit) = 2.0


(5)
A relaxed structure of TiMnCrIr, computed with PBE.

a = 4.2933 Å, b = 4.2933 Å, c = 4.2933 Å
α = 60.00°, β = 60.00°, γ = 60.00°
With the nearest neighbours (Å) after each atom.
Sites, in units of the cell vectors:
Ti 0.0000 0.0000 0.0000  4 Cr 2.63, 4 Ir 2.63
Mn 0.5000 0.5000 0.5000  4 Cr 2.63, 4 Ir 2.63
Cr 0.7500 0.7500 0.7500  4 Mn 2.63, 4 Ti 2.63
Ir 0.2500 0.2500 0.2500  4 Mn 2.63, 4 Ti 2.63

## Properties
- SG = F-43m
- DOS at the Fermi energy (states/eV/f.u.) = 0.6
- ρ (g cm⁻³) = 10.30
- formation enthalpy at 0 K (meV per atom) = -355
- total magnetic moment (μB per formula unit) = 2.0


(6)
A relaxed structure of MnTl2CrIr, computed with PBE.

a = 5.0786 Å, b = 5.0786 Å, c = 4.2104 Å
α = 90.00°, β = 90.00°, γ = 90.00°
With the nearest neighbours (Å) after each atom.
Sites, in units of the cell vectors:
Mn 0.0000 0.0000 0.0000  2 Cr 2.11
Tl 0.0000 0.5000 0.5000  2 Cr 2.54
Tl 0.5000 0.0000 0.5000  2 Cr 2.54
Cr 0.0000 0.0000 0.5000  2 Mn 2.11
Ir 0.5000 0.5000 0.0000  8 Tl 3.30, 4 Mn 3.59

## Properties
- SG = P4/mmm
- DOS at the Fermi energy (states/eV/f.u.) = 4.5
- ρ (g cm⁻³) = 10.82
- formation enthalpy at 0 K (meV per atom) = 1342
- total magnetic moment (μB per formula unit) = 0.2


(7)
A relaxed structure of MnVCrIr2, computed with PBE.

a = 4.4574 Å, b = 4.4574 Å, c = 4.1413 Å
α = 90.00°, β = 90.00°, γ = 90.00°
With the nearest neighbours (Å) after each atom.
Sites, in units of the cell vectors:
Mn 0.0000 0.0000 0.0000  2 V 2.07, 4 Ir 2.23
V 0.0000 0.0000 0.5000  2 Mn 2.07
Cr 0.5000 0.5000 0.5000  8 Ir 3.04, 4 V 3.15
Ir 0.0000 0.5000 0.0000  2 Mn 2.23
Ir 0.5000 0.0000 0.0000  2 Mn 2.23

## Properties
- SG = P4/mmm
- DOS at the Fermi energy (states/eV/f.u.) = 8.4
- ρ (g cm⁻³) = 10.94
- formation enthalpy at 0 K (meV per atom) = 1287
- total magnetic moment (μB per formula unit) = 1.1


(8)
A relaxed structure of MnZnCrIr, computed with PBE.

a = 4.2406 Å, b = 4.2406 Å, c = 4.2406 Å
α = 60.00°, β = 60.00°, γ = 60.00°
With the nearest neighbours (Å) after each atom.
Sites, in units of the cell vectors:
Mn 0.0000 0.0000 0.0000  4 Cr 2.60, 4 Zn 2.60
Zn 0.2500 0.2500 0.2500  4 Ir 2.60, 4 Mn 2.60
Cr 0.7500 0.7500 0.7500  4 Mn 2.60, 4 Ir 2.60
Ir 0.5000 0.5000 0.5000  4 Cr 2.60, 4 Zn 2.60

## Properties
- SG = F-43m
- DOS at the Fermi energy (states/eV/f.u.) = 3.8
- ρ (g cm⁻³) = 11.23
- formation enthalpy at 0 K (meV per atom) = -36
- total magnetic moment (μB per formula unit) = 0.2


(9)
A relaxed structure of Cr2MoIr, computed with PBE.

a = 2.6385 Å, b = 2.6385 Å, c = 7.8947 Å
α = 90.00°, β = 90.00°, γ = 90.00°
With the nearest neighbours (Å) after each atom.
Sites, in units of the cell vectors:
Cr 0.0000 0.0000 0.2327  4 Ir 2.62, 4 Cr 2.64, 4 Mo 2.82
Cr 0.0000 0.0000 0.7673  4 Ir 2.62, 4 Cr 2.64, 4 Mo 2.82
Mo 0.5000 0.5000 0.5000  4 Mo 2.64, 8 Cr 2.82
Ir 0.5000 0.5000 0.0000  8 Cr 2.62, 4 Ir 2.64

## Properties
- SG = P4/mmm
- DOS at the Fermi energy (states/eV/f.u.) = 4.5
- ρ (g cm⁻³) = 11.85
- formation enthalpy at 0 K (meV per atom) = 87
- total magnetic moment (μB per formula unit) = 0.0


(10)
A relaxed structure of CrMoIr2, computed with PBE.

a = 4.7454 Å, b = 4.7454 Å, c = 4.6829 Å
α = 99.87°, β = 99.87°, γ = 33.30°
With the nearest neighbours (Å) after each atom.
Sites, in units of the cell vectors:
Cr 0.0000 0.0000 0.0000  6 Ir 2.69-2.75, 4 Mo 2.71, 2 Cr 2.72
Mo 0.5000 0.5000 0.5000  4 Cr 2.71, 2 Mo 2.72, 6 Ir 2.72-2.76
Ir 0.2540 0.2540 0.7564  6 Ir 2.67-2.75, 3 Cr 2.69-2.75, 3 Mo 2.72-2.76
Ir 0.7460 0.7460 0.2436  6 Ir 2.67-2.75, 3 Cr 2.69-2.75, 3 Mo 2.72-2.76

## Properties
- SG = C2/m
- energy above the most stable polymorph in this dataset (meV/atom) = 159
- DOS at the Fermi energy (states/eV/f.u.) = 3.7
- ρ (g cm⁻³) = 15.52
- formation enthalpy at 0 K (meV per atom) = -84
- total magnetic moment (μB per formula unit) = 0.6


(11)
A relaxed structure of Cr2MoIr, computed with PBE.

a = 9.0260 Å, b = 9.0260 Å, c = 9.0260 Å
α = 17.07°, β = 17.07°, γ = 17.07°
With the nearest neighbours (Å) after each atom.
Sites, in units of the cell vectors:
Cr 0.2459 0.2459 0.2459  3 Ir 2.62, 6 Cr 2.68, 3 Mo 2.80
Cr 0.7541 0.7541 0.7541  3 Ir 2.62, 6 Cr 2.68, 3 Mo 2.80
Mo 0.0000 0.0000 0.0000  6 Mo 2.68, 6 Cr 2.80
Ir 0.5000 0.5000 0.5000  6 Cr 2.62, 6 Ir 2.68

## Properties
- SG = R-3m
- DOS at the Fermi energy (states/eV/f.u.) = 5.6
- ρ (g cm⁻³) = 11.78
- formation enthalpy at 0 K (meV per atom) = 221
- total magnetic moment (μB per formula unit) = 0.0


(12)
A relaxed structure of CrMoIr2, computed with PBE.

a = 4.3937 Å, b = 4.3937 Å, c = 4.3937 Å
α = 60.00°, β = 60.00°, γ = 60.00°
With the nearest neighbours (Å) after each atom.
Sites, in units of the cell vectors:
Cr 0.0000 0.0000 0.0000  8 Ir 2.69
Mo 0.5000 0.5000 0.5000  8 Ir 2.69
Ir 0.2500 0.2500 0.2500  4 Cr 2.69, 4 Mo 2.69
Ir 0.7500 0.7500 0.7500  4 Mo 2.69, 4 Cr 2.69

## Properties
- SG = Fm-3m
- energy above the most stable polymorph in this dataset (meV/atom) = 413
- DOS at the Fermi energy (states/eV/f.u.) = 5.5
- ρ (g cm⁻³) = 14.74
- formation enthalpy at 0 K (meV per atom) = 171
- total magnetic moment (μB per formula unit) = 4.6


(13)
A relaxed structure of CrMoIr2, computed with PBE.

a = 4.7028 Å, b = 4.7028 Å, c = 4.7028 Å
α = 131.74°, β = 131.74°, γ = 70.64°
With the nearest neighbours (Å) after each atom.
Sites, in units of the cell vectors:
Cr 0.0000 0.0000 0.0000  8 Ir 2.72, 4 Mo 2.72
Mo 0.5000 0.5000 0.0000  8 Ir 2.72, 4 Cr 2.72
Ir 0.2500 0.7500 0.5000  4 Cr 2.72, 4 Mo 2.72, 4 Ir 2.72
Ir 0.7500 0.2500 0.5000  4 Cr 2.72, 4 Mo 2.72, 4 Ir 2.72

## Properties
- SG = I4/mmm
- energy above the most stable polymorph in this dataset (meV/atom) = 13
- DOS at the Fermi energy (states/eV/f.u.) = 3.3
- ρ (g cm⁻³) = 15.58
- formation enthalpy at 0 K (meV per atom) = -229
- total magnetic moment (μB per formula unit) = 0.5


(14)
A relaxed structure of CrMoIr2, computed with PBE.

a = 8.9496 Å, b = 8.9496 Å, c = 8.9496 Å
α = 17.56°, β = 17.56°, γ = 17.56°
With the nearest neighbours (Å) after each atom.
Sites, in units of the cell vectors:
Cr 0.0000 0.0000 0.0000  6 Ir 2.62, 6 Cr 2.73
Mo 0.5000 0.5000 0.5000  6 Mo 2.73, 6 Ir 2.80
Ir 0.2542 0.2542 0.2542  3 Cr 2.62, 6 Ir 2.73, 3 Mo 2.80
Ir 0.7458 0.7458 0.7458  3 Cr 2.62, 6 Ir 2.73, 3 Mo 2.80

## Properties
- SG = R-3m
- energy above the most stable polymorph in this dataset (meV/atom) = 183
- DOS at the Fermi energy (states/eV/f.u.) = 5.5
- ρ (g cm⁻³) = 15.52
- formation enthalpy at 0 K (meV per atom) = -59
- total magnetic moment (μB per formula unit) = 0.0


(15)
A relaxed structure of Cr2MoIr, computed with PBE.

a = 5.0087 Å, b = 5.0087 Å, c = 5.0087 Å
α = 146.09°, β = 129.01°, γ = 62.66°
With the nearest neighbours (Å) after each atom.
Sites, in units of the cell vectors:
Cr 0.0000 0.0000 0.0000  2 Cr 2.31
Cr 0.7912 0.2912 0.5000  2 Cr 2.31
Mo 0.5326 0.5326 0.0000  6 Cr 2.62-2.65, 4 Ir 2.75-2.90, 2 Mo 2.92
Ir 0.2601 0.7601 0.5000  6 Cr 2.62-2.66, 4 Mo 2.75-2.90, 2 Ir 2.92

## Properties
- SG = Imm2
- DOS at the Fermi energy (states/eV/f.u.) = 4.3
- ρ (g cm⁻³) = 12.08
- formation enthalpy at 0 K (meV per atom) = 23
- total magnetic moment (μB per formula unit) = 0.0


(16)
A relaxed structure of CrMoIr2, computed with PBE.

a = 9.0645 Å, b = 9.0645 Å, c = 9.0645 Å
α = 17.33°, β = 17.33°, γ = 17.33°
With the nearest neighbours (Å) after each atom.
Sites, in units of the cell vectors:
Cr 0.0000 0.0000 0.0000  3 Ir 2.54, 6 Cr 2.73, 3 Mo 2.83
Mo 0.7542 0.7542 0.7542  3 Ir 2.70, 6 Mo 2.73, 3 Cr 2.83
Ir 0.2589 0.2589 0.2589  3 Cr 2.54, 6 Ir 2.73
Ir 0.5025 0.5025 0.5025  3 Mo 2.70, 9 Ir 2.73-2.87

## Properties
- SG = R3m
- energy above the most stable polymorph in this dataset (meV/atom) = 265
- DOS at the Fermi energy (states/eV/f.u.) = 3.9
- ρ (g cm⁻³) = 15.32
- formation enthalpy at 0 K (meV per atom) = 22
- total magnetic moment (μB per formula unit) = 0.0


(17)
A relaxed structure of Cr2MoIr, computed with PBE.

a = 2.6498 Å, b = 2.6498 Å, c = 8.3353 Å
α = 90.00°, β = 90.00°, γ = 111.00°
With the nearest neighbours (Å) after each atom.
Sites, in units of the cell vectors:
Cr 0.0000 0.0000 0.0000  6 Cr 2.37-2.65, 2 Mo 2.59
Cr 0.5000 0.5000 0.2203  6 Cr 2.37-2.65, 2 Ir 2.58
Mo 0.5000 0.5000 0.7466  2 Cr 2.59, 4 Mo 2.65, 2 Ir 2.74
Ir 0.0000 0.0000 0.4721  2 Cr 2.58, 4 Ir 2.65, 2 Mo 2.74

## Properties
- SG = Cmm2
- DOS at the Fermi energy (states/eV/f.u.) = 4.3
- ρ (g cm⁻³) = 11.92
- formation enthalpy at 0 K (meV per atom) = 143
- total magnetic moment (μB per formula unit) = 0.0


(18)
A relaxed structure of CrMoIr2, computed with PBE.

a = 4.6942 Å, b = 4.6942 Å, c = 4.7232 Å
α = 99.38°, β = 99.38°, γ = 33.86°
With the nearest neighbours (Å) after each atom.
Sites, in units of the cell vectors:
Cr 0.0000 0.0000 0.0000  7 Ir 2.58-2.78, 2 Cr 2.73, 3 Mo 2.75-2.84
Mo 0.7588 0.7588 0.2889  7 Ir 2.66-2.78, 2 Mo 2.73, 3 Cr 2.75-2.84
Ir 0.2608 0.2608 0.8021  3 Cr 2.58-2.67, 4 Mo 2.68-2.78, 5 Ir 2.73-2.80
Ir 0.5072 0.5072 0.5154  3 Mo 2.66-2.68, 4 Cr 2.68-2.78, 5 Ir 2.73-2.80

## Properties
- SG = Cm
- energy above the most stable polymorph in this dataset (meV/atom) = 115
- DOS at the Fermi energy (states/eV/f.u.) = 3.8
- ρ (g cm⁻³) = 15.47
- formation enthalpy at 0 K (meV per atom) = -127
- total magnetic moment (μB per formula unit) = 0.0


(19)
A relaxed structure of Cr2MoIr2, computed with PBE.

a = 7.2741 Å, b = 7.2741 Å, c = 2.6751 Å
α = 90.00°, β = 90.00°, γ = 90.00°
With the nearest neighbours (Å) after each atom.
Sites, in units of the cell vectors:
Cr 0.1682 0.3318 0.0000  6 Ir 2.48-2.56, 2 Cr 2.68
Cr 0.3318 0.8318 0.0000  6 Ir 2.48-2.56, 2 Cr 2.68
Cr 0.6682 0.1682 0.0000  6 Ir 2.48-2.56, 2 Cr 2.68
Cr 0.8318 0.6682 0.0000  6 Ir 2.48-2.56, 2 Cr 2.68
Mo 0.0000 0.0000 0.5000  2 Mo 2.68, 4 Ir 2.86
Mo 0.5000 0.5000 0.5000  2 Mo 2.68, 4 Ir 2.86
Ir 0.1288 0.6288 0.5000  6 Cr 2.48-2.56, 3 Ir 2.65-2.68
Ir 0.3712 0.1288 0.5000  6 Cr 2.48-2.56, 3 Ir 2.65-2.68
Ir 0.6288 0.8712 0.5000  6 Cr 2.48-2.56, 3 Ir 2.65-2.68
Ir 0.8712 0.3712 0.5000  6 Cr 2.48-2.56, 3 Ir 2.65-2.68

## Properties
- SG = P4/mbm
- energy above the most stable polymorph in this dataset (meV/atom) = 55
- DOS at the Fermi energy (states/eV/f.u.) = 5.1
- ρ (g cm⁻³) = 13.71
- formation enthalpy at 0 K (meV per atom) = -4
- total magnetic moment (μB per formula unit) = 0.0


(20)
A relaxed structure of CrMoIr2, computed with PBE.

a = 4.3403 Å, b = 4.3403 Å, c = 4.3403 Å
α = 60.00°, β = 60.00°, γ = 60.00°
With the nearest neighbours (Å) after each atom.
Sites, in units of the cell vectors:
Cr 0.0000 0.0000 0.0000  4 Mo 2.66, 4 Ir 2.66
Mo 0.7500 0.7500 0.7500  4 Ir 2.66, 4 Cr 2.66
Ir 0.2500 0.2500 0.2500  4 Cr 2.66, 4 Ir 2.66
Ir 0.5000 0.5000 0.5000  4 Mo 2.66, 4 Ir 2.66

## Properties
- SG = F-43m
- energy above the most stable polymorph in this dataset (meV/atom) = 439
- DOS at the Fermi energy (states/eV/f.u.) = 7.6
- ρ (g cm⁻³) = 15.29
- formation enthalpy at 0 K (meV per atom) = 197
- total magnetic moment (μB per formula unit) = 0.0